(1)
{"formula": "YTl4Os2", "functional": "PBE", "state": "optimized geometry", "cell": [[8.608, 0.000, 0.000], [0.000, 10.815, 0.000], [0.000, 0.000, 3.414]], "species": ["Y", "Y", "Tl", "Tl", "Tl", "Tl", "Tl", "Tl", "Tl", "Tl", "Os", "Os", "Os", "Os"], "frac_coords": [[0.000, 0.000, 0.000], [0.500, 0.500, 0.000], [0.000, 0.281, 0.000], [0.000, 0.719, 0.000], [0.195, 0.500, 0.500], [0.305, 0.000, 0.500], [0.500, 0.219, 0.000], [0.500, 0.781, 0.000], [0.695, 0.000, 0.500], [0.805, 0.500, 0.500], [0.250, 0.250, 0.500], [0.250, 0.750, 0.500], [0.750, 0.250, 0.500], [0.750, 0.750, 0.500]]}

(2)
{"formula": "DyNiGe", "functional": "PBE", "state": "optimized geometry", "cell": [[6.278, 0.000, 0.000], [0.000, 6.278, 0.000], [0.000, 0.000, 6.278]], "species": ["Dy", "Dy", "Dy", "Dy", "Ni", "Ni", "Ni", "Ni", "Ge", "Ge", "Ge", "Ge"], "frac_coords": [[0.000, 0.000, 0.000], [0.000, 0.500, 0.500], [0.500, 0.000, 0.500], [0.500, 0.500, 0.000], [0.000, 0.000, 0.500], [0.000, 0.500, 0.000], [0.500, 0.000, 0.000], [0.500, 0.500, 0.500], [0.250, 0.250, 0.250], [0.250, 0.750, 0.750], [0.750, 0.250, 0.750], [0.750, 0.750, 0.250]]}

(3)
{"formula": "GdFeSi2Tc", "functional": "PBE", "state": "optimized geometry", "cell": [[4.072, 0.000, 0.000], [0.000, 4.072, 0.000], [0.000, 0.000, 9.838]], "species": ["Gd", "Gd", "Fe", "Fe", "Si", "Si", "Si", "Si", "Tc", "Tc"], "frac_coords": [[0.000, 0.000, 0.000], [0.500, 0.500, 0.500], [0.000, 0.500, 0.750], [0.500, 0.000, 0.250], [0.000, 0.000, 0.371], [0.000, 0.000, 0.629], [0.500, 0.500, 0.129], [0.500, 0.500, 0.871], [0.000, 0.500, 0.250], [0.500, 0.000, 0.750]]}

(4)
{"formula": "BeSnGeOs", "functional": "PBE", "state": "optimized geometry", "cell": [[6.322, 0.000, 0.000], [0.000, 6.322, 0.000], [0.000, 0.000, 6.322]], "species": ["Be", "Be", "Be", "Be", "Sn", "Sn", "Sn", "Sn", "Ge", "Ge", "Ge", "Ge", "Os", "Os", "Os", "Os"], "frac_coords": [[0.000, 0.000, 0.000], [0.000, 0.500, 0.500], [0.500, 0.000, 0.500], [0.500, 0.500, 0.000], [0.250, 0.250, 0.250], [0.250, 0.750, 0.750], [0.750, 0.250, 0.750], [0.750, 0.750, 0.250], [0.250, 0.250, 0.750], [0.250, 0.750, 0.250], [0.750, 0.250, 0.250], [0.750, 0.750, 0.750], [0.000, 0.000, 0.500], [0.000, 0.500, 0.000], [0.500, 0.000, 0.000], [0.500, 0.500, 0.500]]}

| no. | total energy (eV for the cell shown) | density (g/cm³) |
| --- | --- | --- |
| 1 | -67.1 | 13.4 |
| 2 | -62.9 | 7.9 |
| 3 | -74.6 | 7.5 |
| 4 | -85.3 | 10.3 |